(1)
First-principles (GGA-PBE) data for crystalline ErScAgIr at its relaxed geometry, as listed in Alexandria.

Computed properties:
Volume in Å³/cell: 316.3
VASP energy in eV for the cell shown: -100.45

Geometry as CIF:
```
data_ErScAgIr
_chemical_formula_sum 'Er4 Sc4 Ag4 Ir4'
_space_group_name_H-M_alt 'F -4 3 m'
_space_group_IT_number 216
_space_group_name_Hall 'F -4 2 3'
_cell_length_a 6.813
_cell_length_b 6.813
_cell_length_c 6.813
_cell_angle_alpha 90.00
_cell_angle_beta 90.00
_cell_angle_gamma 90.00
loop_
_atom_site_label
_atom_site_type_symbol
_atom_site_fract_x
_atom_site_fract_y
_atom_site_fract_z
_atom_site_occupancy
Er1 Er 0.000 0.000 0.000 1
Sc1 Sc 0.000 0.000 0.500 1
Ag1 Ag 0.250 0.250 0.750 1
Ir1 Ir 0.250 0.250 0.250 1
```



(2)
First-principles (GGA-PBE) data for crystalline CsPmTl2 at its relaxed geometry, as listed in Alexandria.

Computed properties:
Excess energy over the best structure of this formula in the dataset in meV/atom: 172.3
Volume in Å³/cell: 458.3

Geometry as CIF:
```
data_CsPmTl2
_chemical_formula_sum 'Cs3 Pm3 Tl6'
_space_group_name_H-M_alt 'R -3 m'
_space_group_IT_number 166
_space_group_name_Hall '-R 3 2"'
_cell_length_a 3.9835
_cell_length_b 3.9835
_cell_length_c 33.3489
_cell_angle_alpha 90.00
_cell_angle_beta 90.00
_cell_angle_gamma 120.00
loop_
_atom_site_label
_atom_site_type_symbol
_atom_site_fract_x
_atom_site_fract_y
_atom_site_fract_z
_atom_site_occupancy
Cs1 Cs 0.0000 0.0000 0.0000 1
Pm1 Pm 0.0000 0.0000 0.5000 1
Tl1 Tl 0.0000 0.0000 0.2385 1
```



(3)
First-principles (GGA-PBE) data for crystalline ReAuSe2 at its relaxed geometry, as listed in Alexandria.

Computed properties:
Excess energy over the best structure of this formula in the dataset in meV/atom: 344.8
Volume in Å³/cell: 159.2
Formation energy (no corrections) in meV/atom: 457.8

Geometry as CIF:
```
data_ReAuSe2
_chemical_formula_sum 'Re2 Au2 Se4'
_space_group_name_H-M_alt 'C m m m'
_space_group_IT_number 65
_space_group_name_Hall '-C 2 2'
_cell_length_a 2.988
_cell_length_b 4.935
_cell_length_c 10.796
_cell_angle_alpha 90.00
_cell_angle_beta 90.00
_cell_angle_gamma 90.00
loop_
_atom_site_label
_atom_site_type_symbol
_atom_site_fract_x
_atom_site_fract_y
_atom_site_fract_z
_atom_site_occupancy
Re1 Re 0.000 0.000 0.000 1
Au1 Au 0.000 0.000 0.500 1
Se1 Se 0.000 0.500 0.194 1
```



(4)
First-principles (GGA-PBE) data for crystalline Tb2YHgN at its relaxed geometry, as listed in Alexandria.

Computed properties:
Volume in Å³/cell: 112.3
Formation energy (no corrections) in meV/atom: -916.9

Geometry as CIF:
```
data_Tb2YHgN
_chemical_formula_sum 'Tb2 Y1 Hg1 N1'
_space_group_name_H-M_alt 'P 4/m m m'
_space_group_IT_number 123
_space_group_name_Hall '-P 4 2'
_cell_length_a 4.833
_cell_length_b 4.833
_cell_length_c 4.809
_cell_angle_alpha 90.00
_cell_angle_beta 90.00
_cell_angle_gamma 90.00
loop_
_atom_site_label
_atom_site_type_symbol
_atom_site_fract_x
_atom_site_fract_y
_atom_site_fract_z
_atom_site_occupancy
Tb1 Tb 0.000 0.500 0.000 1
Y1 Y 0.000 0.000 0.500 1
Hg1 Hg 0.500 0.500 0.500 1
N1 N 0.000 0.000 0.000 1
```



(5)
First-principles (GGA-PBE) data for crystalline PrHf2Al at its relaxed geometry, as listed in Alexandria.

Computed properties:
Volume in Å³/cell: 284.6
VASP energy in eV for the cell shown: -82.22

Geometry as CIF:
```
data_PrHf2Al
_chemical_formula_sum 'Pr3 Hf6 Al3'
_space_group_name_H-M_alt 'R -3 m'
_space_group_IT_number 166
_space_group_name_Hall '-R 3 2"'
_cell_length_a 3.1472
_cell_length_b 3.1472
_cell_length_c 33.1791
_cell_angle_alpha 90.00
_cell_angle_beta 90.00
_cell_angle_gamma 120.00
loop_
_atom_site_label
_atom_site_type_symbol
_atom_site_fract_x
_atom_site_fract_y
_atom_site_fract_z
_atom_site_occupancy
Pr1 Pr 0.0000 0.0000 0.0000 1
Hf1 Hf 0.0000 0.0000 0.0955 1
Al1 Al 0.0000 0.0000 0.5000 1
```



(6)
First-principles (GGA-PBE) data for crystalline Li3PuAu2 at its relaxed geometry, as listed in Alexandria.

Computed properties:
Volume in Å³/cell: 454.7
VASP energy in eV for the cell shown: -115.10

Geometry as CIF:
```
data_Li3PuAu2
_chemical_formula_sum 'Li12 Pu4 Au8'
_space_group_name_H-M_alt 'C 1 2/m 1'
_space_group_IT_number 12
_space_group_name_Hall '-C 2y'
_cell_length_a 17.851
_cell_length_b 3.574
_cell_length_c 7.953
_cell_angle_alpha 90.00
_cell_angle_beta 116.35
_cell_angle_gamma 90.00
loop_
_atom_site_label
_atom_site_type_symbol
_atom_site_fract_x
_atom_site_fract_y
_atom_site_fract_z
_atom_site_occupancy
Li1 Li 0.079 0.000 0.079 1
Li2 Li 0.180 0.500 0.374 1
Li3 Li 0.180 0.500 0.987 1
Pu1 Pu 0.094 0.000 0.595 1
Au1 Au 0.000 0.500 0.226 1
Au2 Au 0.247 0.500 0.747 1
```



(7)
First-principles (GGA-PBE) data for crystalline KMo4 at its relaxed geometry, as listed in Alexandria.

Computed properties:
Excess energy over the best structure of this formula in the dataset in meV/atom: 0.0
Volume in Å³/cell: 219.8

Geometry as CIF:
```
data_KMo4
_chemical_formula_sum 'K2 Mo8'
_space_group_name_H-M_alt 'I 4/m m m'
_space_group_IT_number 139
_space_group_name_Hall '-I 4 2'
_cell_length_a 4.246
_cell_length_b 4.246
_cell_length_c 12.192
_cell_angle_alpha 90.00
_cell_angle_beta 90.00
_cell_angle_gamma 90.00
loop_
_atom_site_label
_atom_site_type_symbol
_atom_site_fract_x
_atom_site_fract_y
_atom_site_fract_z
_atom_site_occupancy
K1 K 0.000 0.000 0.000 1
Mo1 Mo 0.000 0.000 0.368 1
Mo2 Mo 0.000 0.500 0.250 1
```



(8)
First-principles (GGA-PBE) data for crystalline Pm9HoAl2 at its relaxed geometry, as listed in Alexandria.

Computed properties:
Volume in Å³/cell: 364.5
VASP energy in eV for the cell shown: -56.02

Geometry as CIF:
```
data_Pm9HoAl2
_chemical_formula_sum 'Pm9 Ho1 Al2'
_space_group_name_H-M_alt 'P 4/m m m'
_space_group_IT_number 123
_space_group_name_Hall '-P 4 2'
_cell_length_a 4.920
_cell_length_b 4.920
_cell_length_c 15.054
_cell_angle_alpha 90.00
_cell_angle_beta 90.00
_cell_angle_gamma 90.00
loop_
_atom_site_label
_atom_site_type_symbol
_atom_site_fract_x
_atom_site_fract_y
_atom_site_fract_z
_atom_site_occupancy
Pm1 Pm 0.000 0.000 0.000 1
Pm2 Pm 0.000 0.000 0.339 1
Pm3 Pm 0.000 0.500 0.177 1
Pm4 Pm 0.000 0.500 0.500 1
Ho1 Ho 0.500 0.500 0.000 1
Al1 Al 0.500 0.500 0.340 1
```



(9)
First-principles (GGA-PBE) data for crystalline PmPu2RhN4 at its relaxed geometry, as listed in Alexandria.

Computed properties:
Volume in Å³/cell: 460.4
Formation energy (no corrections) in meV/atom: -923.8

Geometry as CIF:
```
data_PmPu2RhN4
_chemical_formula_sum 'Pm4 Pu8 Rh4 N16'
_space_group_name_H-M_alt 'C m c m'
_space_group_IT_number 63
_space_group_name_Hall '-C 2c 2'
_cell_length_a 3.421
_cell_length_b 11.497
_cell_length_c 11.706
_cell_angle_alpha 90.00
_cell_angle_beta 90.00
_cell_angle_gamma 90.00
loop_
_atom_site_label
_atom_site_type_symbol
_atom_site_fract_x
_atom_site_fract_y
_atom_site_fract_z
_atom_site_occupancy
Pm1 Pm 0.000 0.110 0.250 1
Pu1 Pu 0.000 0.371 0.055 1
Rh1 Rh 0.000 0.152 0.750 1
N1 N 0.000 0.000 0.000 1
N2 N 0.000 0.268 0.607 1
N3 N 0.000 0.455 0.250 1
```



(10)
First-principles (GGA-PBE) data for crystalline SnH at its relaxed geometry, as listed in Alexandria.

Computed properties:
Excess energy over the best structure of this formula in the dataset in meV/atom: 266.1
Volume in Å³/cell: 68.6

Geometry as CIF:
```
data_SnH
_chemical_formula_sum 'Sn2 H2'
_space_group_name_H-M_alt 'P 1 21/m 1'
_space_group_IT_number 11
_space_group_name_Hall '-P 2yb'
_cell_length_a 3.076
_cell_length_b 4.296
_cell_length_c 5.192
_cell_angle_alpha 90.00
_cell_angle_beta 90.23
_cell_angle_gamma 90.00
loop_
_atom_site_label
_atom_site_type_symbol
_atom_site_fract_x
_atom_site_fract_y
_atom_site_fract_z
_atom_site_occupancy
Sn1 Sn 0.003 0.250 0.263 1
H1 H 0.002 0.750 0.127 1
```



(11)
First-principles (GGA-PBE) data for crystalline GeMo2Pd at its relaxed geometry, as listed in Alexandria.

Computed properties:
Volume in Å³/cell: 266.7
VASP energy in eV for the cell shown: -119.03

Geometry as CIF:
```
data_GeMo2Pd
_chemical_formula_sum 'Ge4 Mo8 Pd4'
_space_group_name_H-M_alt 'I -4 2 d'
_space_group_IT_number 122
_space_group_name_Hall 'I -4 2bw'
_cell_length_a 7.106
_cell_length_b 7.106
_cell_length_c 5.281
_cell_angle_alpha 90.00
_cell_angle_beta 90.00
_cell_angle_gamma 90.00
loop_
_atom_site_label
_atom_site_type_symbol
_atom_site_fract_x
_atom_site_fract_y
_atom_site_fract_z
_atom_site_occupancy
Ge1 Ge 0.000 0.000 0.000 1
Mo1 Mo 0.233 0.250 0.125 1
Pd1 Pd 0.000 0.000 0.500 1
```



(12)
First-principles (GGA-PBE) data for crystalline LaCr2Cd at its relaxed geometry, as listed in Alexandria.

Computed properties:
Volume in Å³/cell: 187.9
VASP energy in eV for the cell shown: -47.82

Geometry as CIF:
```
data_LaCr2Cd
_chemical_formula_sum 'La2 Cr4 Cd2'
_space_group_name_H-M_alt 'C 1 m 1'
_space_group_IT_number 8
_space_group_name_Hall 'C -2y'
_cell_length_a 7.872
_cell_length_b 4.492
_cell_length_c 5.918
_cell_angle_alpha 90.00
_cell_angle_beta 116.14
_cell_angle_gamma 90.00
loop_
_atom_site_label
_atom_site_type_symbol
_atom_site_fract_x
_atom_site_fract_y
_atom_site_fract_z
_atom_site_occupancy
La1 La 0.000 0.000 0.000 1
Cr1 Cr 0.038 0.500 0.611 1
Cr2 Cr 0.208 0.000 0.625 1
Cd1 Cd 0.295 0.500 0.381 1
```



| no. | mass density (g cm⁻³) | DOS(E_F) (states/eV/atom) |
| --- | --- | --- |
| 1 | 10.76 | 0.86 |
| 2 | 7.46 | 1.08 |
| 3 | 11.29 | 0.72 |
| 4 | 9.18 | 0.68 |
| 5 | 9.19 | 1.49 |
| 6 | 9.62 | 1.73 |
| 7 | 6.39 | 0.88 |
| 8 | 6.94 | 1.19 |
| 9 | 11.42 | 1.69 |
| 10 | 5.80 | 0.20 |
| 11 | 9.24 | 0.89 |
| 12 | 6.28 | 0.99 |